The following is a DFT calculation (PBE) of crystalline Al2SiPH at its relaxed geometry.

Summary:
M_tot: 0.0 μB per cell
electronic total energy: -20.25 eV/cell
space-group type: No. 123
V: 15.21 Å³/atom

```
Al2SiPH
1.0
4.8423 0.0000 0.0000
0.0000 3.2432 0.0000
0.0000 0.0000 4.8423
Al P Si H
2 1 1 1
direct
0.0000 0.0000 0.5000
0.5000 0.0000 0.0000
0.5000 0.5000 0.5000
0.0000 0.0000 0.0000
0.0000 0.5000 0.0000
```